Entry 1:
A plane-wave DFT calculation with PBE was carried out for a relaxed K2ZnHgAs crystal.

a = 6.4915 Å, b = 6.4915 Å, c = 4.8771 Å
α = 90.00°, β = 90.00°, γ = 90.00°
Last column: nearest neighbours and their distance in Å.
Space group P4/mmm (No. 123)
Symmetry-distinct sites (fractional):
K  0.0000  0.5000  0.0000 (multiplicity 2)  2 As 3.25
Zn  0.0000  0.0000  0.5000 (multiplicity 1)  2 As 2.44
Hg  0.5000  0.5000  0.5000 (multiplicity 1)  8 K 4.06
As  0.0000  0.0000  0.0000 (multiplicity 1)  2 Zn 2.44

Computed properties:
VASP energy in eV/cell: -9.36
DOS at the Fermi energy in states/eV per cell: 1.86
E_form in eV/atom: -0.188


Entry 2:
A plane-wave DFT calculation with PBE was carried out for a relaxed Ho3TmSi4 crystal.

a = 3.9613 Å, b = 6.1955 Å, c = 15.4351 Å
α = 90.00°, β = 90.00°, γ = 90.00°
Last column: nearest neighbours and their distance in Å.
Space group Immm (No. 71)
Symmetry-distinct sites (fractional):
Ho  0.0000  0.0000  0.0000 (multiplicity 2)  8 Si 3.06
Ho  0.0000  0.5000  0.1940 (multiplicity 4)  6 Si 2.93-2.94
Tm  0.0000  0.0000  0.5000 (multiplicity 2)  4 Si 2.80
Si  0.0000  0.3129  0.3687 (multiplicity 8)  1 Si 2.32

Computed properties:
VASP energy in eV/cell: -88.80
DOS at the Fermi energy in states/eV per cell: 11.87
Formation energy without anion corrections in eV per atom: -0.563


Entry 3:
A plane-wave DFT calculation with PBE was carried out for a relaxed TbPr3Tl4Se8 crystal.

a = 8.6418 Å, b = 8.6418 Å, c = 23.2629 Å
α = 90.00°, β = 90.00°, γ = 120.00°
Last column: nearest neighbours and their distance in Å.
Space group R-3m (No. 166, hexagonal axes)
Symmetry-distinct sites (fractional):
Tb  0.0000  0.0000  0.0000 (multiplicity 3)  6 Se 2.93
Pr  0.0000  0.5000  0.0000 (multiplicity 9)  6 Se 2.99-3.00
Tl  0.0000  0.0000  0.5000 (multiplicity 3)  6 Se 3.41
Tl  0.0000  0.5000  0.5000 (multiplicity 9)  6 Se 3.34
Se  0.0000  0.0000  0.2622 (multiplicity 6)  3 Pr 2.99, 3 Tl 3.34
Se  0.0081  0.5041  0.7365 (multiplicity 18)  1 Tb 2.93, 2 Pr 3.00

Computed properties:
VASP energy in eV/cell: -235.01
Formation energy without anion corrections in eV per atom: -1.377